[1]
DFT (GGA-PBEsol) results for a relaxed Li2ZnIr crystal.

abc: 3.6199 3.6199 4.7066
angles: 112.62 112.62 90.00
Atoms (fractional coordinates):
Ir: 0.0000 0.0000 0.0000
Zn: 0.5000 0.5000 0.0000
Li: 0.7500 0.2500 0.5000
Li: 0.2500 0.7500 0.5000

Properties
Crystal system = tetragonal
SG = I4/mmm (139)
Formation energy = -0.14 eV/atom

[2]
DFT (GGA-PBEsol) results for a relaxed Li2ZnIr crystal.

abc: 2.5355 4.1545 5.1048
angles: 90.00 90.00 90.00
Atoms (fractional coordinates):
Li: 0.0000 0.0000 0.7326
Li: 0.0000 0.0000 0.2674
Ir: 0.5000 0.5000 0.5000
Zn: 0.5000 0.5000 0.0000

Properties
Crystal system = orthorhombic
SG = Pmmm (47)
Formation energy = -0.12 eV/atom

[3]
DFT (GGA-PBEsol) results for a relaxed Li2ZrIr crystal.

abc: 2.7136 2.7136 9.9377
angles: 90.00 90.00 117.80
Atoms (fractional coordinates):
Zr: 0.5000 0.5000 0.5000
Li: 0.0000 0.0000 0.2143
Li: 0.0000 0.0000 0.7857
Ir: 0.5000 0.5000 0.0000

Properties
Crystal system = orthorhombic
SG = Cmmm (65)
Formation energy = 0.10 eV/atom

[4]
DFT (GGA-PBEsol) results for a relaxed LiZr2Ir2 crystal.

abc: 3.1144 7.6678 7.6678
angles: 90.00 90.00 90.00
Atoms (fractional coordinates):
Zr: 0.5000 0.6565 0.8435
Zr: 0.5000 0.3435 0.1565
Ir: 0.0000 0.3609 0.8609
Ir: 0.0000 0.6391 0.1391
Ir: 0.0000 0.1391 0.3609
Zr: 0.5000 0.1565 0.6565
Li: 0.0000 0.0000 0.0000
Zr: 0.5000 0.8435 0.3435
Ir: 0.0000 0.8609 0.6391
Li: 0.0000 0.5000 0.5000

Properties
Crystal system = tetragonal
SG = P4/mbm (127)
Formation energy = -0.58 eV/atom

[5]
DFT (GGA-PBEsol) results for a relaxed Li3ZrIr crystal.

abc: 4.3859 4.3859 4.3859
angles: 90.00 90.00 90.00
Atoms (fractional coordinates):
Li: 0.5000 0.0000 0.0000
Li: 0.0000 0.5000 0.0000
Ir: 0.0000 0.0000 0.0000
Li: 0.0000 0.0000 0.5000
Zr: 0.5000 0.5000 0.5000

Properties
Crystal system = cubic
SG = Pm-3m (221)
Formation energy = 0.70 eV/atom

[6]
DFT (GGA-PBEsol) results for a relaxed LuIr2 crystal.

abc: 5.2466 5.2466 5.2466
angles: 60.00 60.00 60.00
Atoms (fractional coordinates):
Ir: 0.6250 0.1250 0.1250
Lu: 0.5000 0.5000 0.5000
Ir: 0.1250 0.1250 0.6250
Ir: 0.1250 0.1250 0.1250
Lu: 0.7500 0.7500 0.7500
Ir: 0.1250 0.6250 0.1250

Properties
Crystal system = cubic
SG = Fd-3m (227)
Formation energy = -0.82 eV/atom

[7]
DFT (GGA-PBEsol) results for a relaxed Lu2NiIr crystal.

abc: 4.6363 4.6363 4.6363
angles: 60.00 60.00 60.00
Atoms (fractional coordinates):
Lu: 0.7500 0.7500 0.7500
Ni: 0.0000 0.0000 0.0000
Ir: 0.5000 0.5000 0.5000
Lu: 0.2500 0.2500 0.2500

Properties
Crystal system = cubic
SG = Fm-3m (225)
Formation energy = -0.76 eV/atom

[8]
DFT (GGA-PBEsol) results for a relaxed Lu2IrRu crystal.

abc: 4.6458 4.6458 4.6458
angles: 60.00 60.00 60.00
Atoms (fractional coordinates):
Ir: 0.5000 0.5000 0.5000
Lu: 0.7500 0.7500 0.7500
Ru: 0.0000 0.0000 0.0000
Lu: 0.2500 0.2500 0.2500

Properties
Crystal system = cubic
SG = Fm-3m (225)
Formation energy = -0.73 eV/atom

[9]
DFT (GGA-PBEsol) results for a relaxed Lu5Sc5Si20Ir8 crystal.

abc: 4.1123 12.3588 12.3588
angles: 90.00 90.00 90.00
Atoms (fractional coordinates):
Ir: 0.0000 0.2536 0.0196
Ir: 0.0000 0.7546 0.4802
Sc: 0.0000 0.4998 0.9999
Lu: 0.5000 0.3253 0.6755
Si: 0.0000 0.2992 0.8361
Lu: 0.5000 0.1738 0.1738
Lu: 0.5000 0.3840 0.3840
Sc: 0.5000 0.8826 0.1171
Ir: 0.0000 0.9800 0.7460
Ir: 0.0000 0.2455 0.5199
Sc: 0.5000 0.6168 0.6168
Si: 0.5000 0.4983 0.8478
Si: 0.0000 0.1639 0.7010
Si: 0.0000 0.4348 0.5665
Si: 0.5000 0.9982 0.6525
Si: 0.0000 0.8361 0.2992
Si: 0.5000 0.3475 0.0019
Si: 0.0000 0.5665 0.4348
Si: 0.0000 0.7993 0.6641
Lu: 0.5000 0.6755 0.3253
Si: 0.0000 0.3353 0.1998
Si: 0.5000 0.8478 0.4983
Sc: 0.5000 0.1171 0.8826
Si: 0.0000 0.7010 0.1639
Ir: 0.0000 0.4802 0.7546
Ir: 0.0000 0.0196 0.2536
Ir: 0.0000 0.5199 0.2455
Ir: 0.0000 0.7460 0.9800
Si: 0.0000 0.1998 0.3353
Si: 0.0000 0.9342 0.9342
Lu: 0.5000 0.8252 0.8252
Si: 0.5000 0.0019 0.3475
Si: 0.5000 0.5038 0.1514
Si: 0.0000 0.6641 0.7993
Si: 0.0000 0.0651 0.0651
Si: 0.5000 0.1514 0.5038
Sc: 0.0000 0.9999 0.4998
Si: 0.5000 0.6525 0.9982

Properties
Crystal system = orthorhombic
Uncorrected formation energy = -0.911 eV per atom
SG = Amm2 (38)

[10]
DFT (GGA-PBEsol) results for a relaxed Lu2Si5Ir3 crystal.

abc: 5.7029 8.0268 8.0268
angles: 76.53 69.19 69.19
Atoms (fractional coordinates):
Ir: 0.6401 0.9760 0.7437
Si: 0.3947 0.7618 0.4489
Si: 0.4752 0.2748 0.2748
Si: 0.5248 0.7252 0.7252
Ir: 0.8599 0.2563 0.0240
Si: 0.7500 0.0000 0.0000
Lu: 0.3684 0.3593 0.9039
Si: 0.2500 0.0000 0.0000
Si: 0.8947 0.4489 0.7618
Ir: 0.2500 0.5000 0.5000
Si: 0.1053 0.5511 0.2382
Lu: 0.8684 0.9039 0.3593
Ir: 0.7500 0.5000 0.5000
Si: 0.6053 0.2382 0.5511
Si: 0.0248 0.7252 0.7252
Ir: 0.3599 0.0240 0.2563
Ir: 0.1401 0.7437 0.9760
Lu: 0.1316 0.0961 0.6407
Si: 0.9752 0.2748 0.2748
Lu: 0.6316 0.6407 0.0961

Properties
Crystal system = orthorhombic
Uncorrected formation energy = -0.994 eV per atom
SG = Ibam (72)

[11]
DFT (GGA-PBEsol) results for a relaxed Lu5Si10Ir4 crystal.

abc: 4.1574 12.4212 12.4212
angles: 90.00 90.00 90.00
Atoms (fractional coordinates):
Si: 0.0000 0.6999 0.6651
Si: 0.0000 0.1999 0.8349
Ir: 0.0000 0.2461 0.0192
Lu: 0.5000 0.1158 0.3842
Lu: 0.5000 0.3842 0.8842
Si: 0.5000 0.6552 0.4975
Si: 0.0000 0.3001 0.3349
Si: 0.5000 0.5025 0.6552
Ir: 0.0000 0.5192 0.7461
Si: 0.0000 0.5660 0.9340
Si: 0.5000 0.8448 0.9975
Lu: 0.5000 0.1742 0.6742
Lu: 0.0000 0.0000 0.0000
Ir: 0.0000 0.7539 0.9808
Si: 0.5000 0.4975 0.3448
Lu: 0.0000 0.5000 0.5000
Si: 0.0000 0.1651 0.1999
Ir: 0.0000 0.4808 0.2539
Ir: 0.0000 0.7461 0.4808
Si: 0.5000 0.3448 0.5025
Si: 0.0000 0.8001 0.1651
Si: 0.0000 0.8349 0.8001
Lu: 0.5000 0.3258 0.1742
Si: 0.0000 0.4340 0.0660
Si: 0.5000 0.0025 0.8448
Lu: 0.5000 0.6742 0.8258
Si: 0.0000 0.6651 0.3001
Ir: 0.0000 0.9808 0.2461
Si: 0.5000 0.1552 0.0025
Lu: 0.5000 0.6158 0.1158
Si: 0.0000 0.3349 0.6999
Si: 0.0000 0.9340 0.4340
Ir: 0.0000 0.0192 0.7539
Lu: 0.5000 0.8258 0.3258
Si: 0.5000 0.9975 0.1552
Si: 0.0000 0.0660 0.5660
Lu: 0.5000 0.8842 0.6158
Ir: 0.0000 0.2539 0.5192

Properties
Crystal system = tetragonal
Uncorrected formation energy = -0.945 eV per atom
SG = P4/mbm (127)

[12]
DFT (GGA-PBEsol) results for a relaxed YLuIr2 crystal.

abc: 4.7273 4.7273 4.7273
angles: 60.00 60.00 60.00
Atoms (fractional coordinates):
Ir: 0.7500 0.7500 0.7500
Ir: 0.2500 0.2500 0.2500
Lu: 0.5000 0.5000 0.5000
Y: 0.0000 0.0000 0.0000

Properties
Crystal system = cubic
SG = Fm-3m (225)
Formation energy = -0.85 eV/atom

[13]
DFT (GGA-PBEsol) results for a relaxed Mg3Ir crystal.

abc: 4.5977 5.8553 5.8553
angles: 120.00 90.00 90.00
Atoms (fractional coordinates):
Mg: 0.2500 0.3504 0.1752
Mg: 0.7500 0.6496 0.8248
Mg: 0.7500 0.1752 0.8248
Ir: 0.7500 0.6667 0.3333
Mg: 0.2500 0.8248 0.6496
Mg: 0.2500 0.8248 0.1752
Mg: 0.7500 0.1752 0.3504
Ir: 0.2500 0.3333 0.6667

Properties
Crystal system = hexagonal
SG = P6_3/mmc (194)
Formation energy = -0.22 eV/atom

[14]
DFT (GGA-PBEsol) results for a relaxed MgIr crystal.

abc: 2.8353 5.3324 6.5612
angles: 104.52 90.00 105.42
Atoms (fractional coordinates):
Ir: 0.3255 0.6509 0.6645
Mg: 0.9991 0.9982 0.0175
Ir: 0.6769 0.3538 0.3326
Ir: 0.3862 0.7725 0.2830
Mg: 0.0439 0.0877 0.5854
Mg: 0.7351 0.4702 0.9504

Properties
Crystal system = monoclinic
SG = Cm (8)
Formation energy = -0.17 eV/atom

[15]
DFT (GGA-PBEsol) results for a relaxed MgIr2 crystal.

abc: 5.1690 5.1690 16.7607
angles: 90.00 90.00 120.00
Atoms (fractional coordinates):
Ir: 0.6667 0.3333 0.3741
Ir: 0.3333 0.6667 0.6259
Ir: 0.3333 0.6667 0.8741
Mg: 0.6667 0.3333 0.6551
Mg: 0.0000 0.0000 0.0900
Ir: 0.3238 0.1619 0.2500
Ir: 0.5000 0.0000 0.5000
Mg: 0.0000 0.0000 0.4100
Mg: 0.3333 0.6667 0.3449
Ir: 0.6667 0.3333 0.1259
Ir: 0.1619 0.8381 0.7500
Mg: 0.6667 0.3333 0.8449
Ir: 0.0000 0.5000 0.0000
Ir: 0.6762 0.8381 0.7500
Ir: 0.5000 0.5000 0.5000
Mg: 0.0000 0.0000 0.5900
Mg: 0.3333 0.6667 0.1551
Mg: 0.0000 0.0000 0.9100
Ir: 0.8381 0.6762 0.2500
Ir: 0.5000 0.0000 0.0000
Ir: 0.5000 0.5000 0.0000
Ir: 0.0000 0.5000 0.5000
Ir: 0.8381 0.1619 0.2500
Ir: 0.1619 0.3238 0.7500

Properties
Crystal system = hexagonal
SG = P6_3/mmc (194)
Formation energy = -0.17 eV/atom

[16]
DFT (GGA-PBEsol) results for a relaxed MgIr4 crystal.

abc: 3.8480 4.7175 4.7175
angles: 80.43 65.93 65.93
Atoms (fractional coordinates):
Ir: 0.6016 0.5914 0.2054
Ir: 0.3984 0.4086 0.7946
Ir: 0.8070 0.7946 0.5914
Mg: 0.0000 0.0000 0.0000
Ir: 0.1930 0.2054 0.4086

Properties
Crystal system = tetragonal
SG = I4/m (87)
Formation energy = -0.11 eV/atom

[17]
DFT (GGA-PBEsol) results for a relaxed MgIr2 crystal.

abc: 2.7377 2.7377 6.2749
angles: 102.60 102.60 90.00
Atoms (fractional coordinates):
Ir: 0.6751 0.6751 0.3503
Mg: 0.0000 0.0000 0.0000
Ir: 0.3249 0.3249 0.6497

Properties
Crystal system = tetragonal
SG = I4/mmm (139)
Formation energy = -0.17 eV/atom

[18]
DFT (GGA-PBEsol) results for a relaxed MgIr crystal.

abc: 2.8304 4.7001 5.1782
angles: 112.14 105.86 90.00
Atoms (fractional coordinates):
Mg: 0.3911 0.2009 0.7823
Mg: 0.6089 0.7991 0.2177
Ir: 0.8583 0.6915 0.7165
Ir: 0.1417 0.3085 0.2835

Properties
Crystal system = monoclinic
SG = C2/m (12)
Formation energy = -0.31 eV/atom

[19]
DFT (GGA-PBEsol) results for a relaxed MgIr3 crystal.

abc: 4.4432 4.7092 5.4901
angles: 90.00 90.00 90.00
Atoms (fractional coordinates):
Ir: 0.0000 0.6650 0.5000
Ir: 0.5000 0.8415 0.7534
Ir: 0.5000 0.3350 0.0000
Ir: 0.0000 0.1585 0.2534
Mg: 0.0000 0.6560 0.0000
Ir: 0.0000 0.1585 0.7466
Ir: 0.5000 0.8415 0.2466
Mg: 0.5000 0.3440 0.5000

Properties
Crystal system = orthorhombic
SG = Pmmn (59)
Formation energy = -0.06 eV/atom

[20]
DFT (GGA-PBEsol) results for a relaxed Mg17Ir12 crystal.

abc: 8.5082 8.5082 8.5082
angles: 109.47 109.47 109.47
Atoms (fractional coordinates):
Ir: 0.8116 0.6311 0.0000
Ir: 0.6311 0.0000 0.8116
Mg: 0.6003 0.0000 0.3172
Mg: 0.6471 0.6471 0.6471
Mg: 0.0000 0.6003 0.3172
Ir: 0.6311 0.8116 0.0000
Ir: 0.1805 0.3689 0.3689
Mg: 0.6828 0.2831 0.6828
Mg: 0.7169 0.3997 0.3997
Mg: 0.3172 0.0000 0.6003
Mg: 0.3529 0.0000 0.0000
Ir: 0.0000 0.8116 0.6311
Ir: 0.8116 0.0000 0.6311
Mg: 0.0000 0.3172 0.6003
Ir: 0.1884 0.8195 0.1884
Ir: 0.3689 0.3689 0.1805
Mg: 0.0000 0.0000 0.0000
Mg: 0.3997 0.7169 0.3997
Ir: 0.3689 0.1805 0.3689
Mg: 0.2831 0.6828 0.6828
Mg: 0.3997 0.3997 0.7169
Mg: 0.6828 0.6828 0.2831
Mg: 0.0000 0.0000 0.3529
Mg: 0.0000 0.3529 0.0000
Mg: 0.3172 0.6003 0.0000
Mg: 0.6003 0.3172 0.0000
Ir: 0.1884 0.1884 0.8195
Ir: 0.8195 0.1884 0.1884
Ir: 0.0000 0.6311 0.8116

Properties
Crystal system = cubic
SG = I-43m (217)
Formation energy = -0.29 eV/atom

[21]
DFT (GGA-PBEsol) results for a relaxed MgIr3 crystal.

abc: 4.7835 5.4232 8.8917
angles: 90.00 90.00 90.00
Atoms (fractional coordinates):
Ir: 0.2624 0.1215 0.9927
Ir: 0.7376 0.8785 0.0073
Ir: 0.2376 0.6215 0.4927
Ir: 0.7624 0.3785 0.5073
Ir: 0.5858 0.1329 0.7500
Ir: 0.2376 0.6215 0.0073
Ir: 0.4142 0.8671 0.2500
Ir: 0.9142 0.6329 0.2500
Mg: 0.9243 0.1279 0.2500
Ir: 0.2624 0.1215 0.5073
Mg: 0.0757 0.8721 0.7500
Ir: 0.7624 0.3785 0.9927
Mg: 0.5757 0.6279 0.7500
Ir: 0.7376 0.8785 0.4927
Mg: 0.4243 0.3721 0.2500
Ir: 0.0858 0.3671 0.7500

Properties
Crystal system = orthorhombic
SG = Pnma (62)
Formation energy = -0.16 eV/atom

We obtain calculated volume values of 12.9; 13.4; 16.2; 18.3; 16.9; 17.0; 17.6; 17.7; 16.5; 15.9; 16.9; 18.7; 17.1; 15.4; 16.2; 14.3; 14.9; 15.2; 14.4; 16.3; 14.4 Å³/atom for the records listed above, in that order.